Record 1
The following is a DFT calculation (PBE) of a relaxed structure of Sc2NiHAu.

## Properties
- Space-group type: P4/mmm (123)
- Uncorrected energy: -28.1 eV per cell
- Crystal system: tetragonal

Unit cell a=4.631 b=4.631 c=3.438 alpha=90.00 beta=90.00 gamma=90.00
Atoms (fractional coordinates):
Sc1 0.000 0.500 0.000
Sc2 0.500 0.000 0.000
Ni1 0.000 0.000 0.500
H1 0.000 0.000 0.000
Au1 0.500 0.500 0.500



Record 2
The following is a DFT calculation (PBE) of a relaxed structure of ScNi2HAu.

## Properties
- Space-group type: P4/mmm (123)
- Uncorrected energy: -26.3 eV per cell
- Crystal system: tetragonal

Unit cell a=3.869 b=3.869 c=4.077 alpha=90.00 beta=90.00 gamma=90.00
Atoms (fractional coordinates):
Sc1 0.000 0.000 0.000
Ni1 0.000 0.500 0.500
Ni2 0.500 0.000 0.500
H1 0.000 0.000 0.500
Au1 0.500 0.500 0.000



Record 3
The following is a DFT calculation (PBE) of a relaxed structure of Ti2NiHAu.

## Properties
- Space-group type: P4/mmm (123)
- Uncorrected energy: -30.0 eV per cell
- Crystal system: tetragonal

Unit cell a=4.006 b=4.006 c=3.900 alpha=90.00 beta=90.00 gamma=90.00
Atoms (fractional coordinates):
Ti1 0.000 0.500 0.000
Ti2 0.500 0.000 0.000
Ni1 0.000 0.000 0.500
H1 0.000 0.000 0.000
Au1 0.500 0.500 0.500



Record 4
The following is a DFT calculation (PBE) of a relaxed structure of VNi2HAu.

## Properties
- Space-group type: P4/mmm (123)
- Uncorrected energy: -27.3 eV per cell
- Crystal system: tetragonal

Unit cell a=3.800 b=3.800 c=3.863 alpha=90.00 beta=90.00 gamma=90.00
Atoms (fractional coordinates):
V1 0.000 0.000 0.000
Ni1 0.000 0.500 0.500
Ni2 0.500 0.000 0.500
H1 0.000 0.000 0.500
Au1 0.500 0.500 0.000



Record 5
The following is a DFT calculation (PBE) of a relaxed structure of V2NiHAu.

## Properties
- Space-group type: P4/mmm (123)
- Uncorrected energy: -31.0 eV per cell
- Crystal system: tetragonal

Unit cell a=3.785 b=3.785 c=3.968 alpha=90.00 beta=90.00 gamma=90.00
Atoms (fractional coordinates):
V1 0.000 0.500 0.000
V2 0.500 0.000 0.000
Ni1 0.000 0.000 0.500
H1 0.000 0.000 0.000
Au1 0.500 0.500 0.500



Record 6
The following is a DFT calculation (PBE) of a relaxed structure of Y2NiHAu.

## Properties
- Space-group type: P4/mmm (123)
- Uncorrected energy: -28.3 eV per cell
- Crystal system: tetragonal

Unit cell a=4.979 b=4.979 c=3.561 alpha=90.00 beta=90.00 gamma=90.00
Atoms (fractional coordinates):
Y1 0.000 0.500 0.000
Y2 0.500 0.000 0.000
Ni1 0.000 0.000 0.500
H1 0.000 0.000 0.000
Au1 0.500 0.500 0.500



Record 7
The following is a DFT calculation (PBE) of a relaxed structure of Zr2NiHAu.

## Properties
- Space-group type: P4/mmm (123)
- Uncorrected energy: -31.4 eV per cell
- Crystal system: tetragonal

Unit cell a=4.466 b=4.466 c=3.775 alpha=90.00 beta=90.00 gamma=90.00
Atoms (fractional coordinates):
Zr1 0.000 0.500 0.000
Zr2 0.500 0.000 0.000
Ni1 0.000 0.000 0.500
H1 0.000 0.000 0.000
Au1 0.500 0.500 0.500



Record 8
The following is a DFT calculation (PBE) of a relaxed structure of NpH2Au.

## Properties
- Space-group type: R-3m (166)
- Uncorrected energy: -23.2 eV per cell
- Crystal system: trigonal

Unit cell a=5.118 b=5.118 c=5.118 alpha=42.44 beta=42.44 gamma=42.44
Atoms (fractional coordinates):
Np1 0.000 0.000 0.000
H1 0.297 0.297 0.297
H2 0.703 0.703 0.703
Au1 0.500 0.500 0.500



Q: Among the records above, which one has the lowest uncorrected energy?
A: Zr2NiHAu



Q: uncorrected energy of number 4 (VNi2HAu)?
A: -27.3 eV per cell